Material: Ac4Rh2Pb5
Method: DFT, GGA-PBE
State: relaxed

Values from the calculation:
Space-group type: P2/m
Fermi-level density of states in states/eV/cell: 6.1
Total moment in μB per formula unit: 0.00
Energy of formation from the pure elements in eV/f.u.: -5.82

```
Ac4Rh2Pb5
1.0
4.200 0.000 0.000
0.000 8.321 0.165
0.000 -0.602 9.850
Pb Rh Ac
5 2 4
direct
0.000 0.551 0.341
0.000 0.862 0.866
0.000 0.449 0.659
0.000 0.500 0.000
0.000 0.138 0.134
0.000 0.913 0.364
0.000 0.087 0.636
0.500 0.786 0.578
0.500 0.214 0.422
0.500 0.199 0.843
0.500 0.801 0.157
```